Entry 1:
Entry from OQMD: an optimized crystal structure of Be2CdPd3 (GGA-PBE).

Calculated values
space group = P4/mmm, No. 123

Cell: 2.8373 2.8373 9.9314 Å, 90.00 90.00 90.00°
Atoms (fractional coordinates):
Be: 0.5000 0.5000 0.1479
Be: 0.5000 0.5000 0.8521
Cd: 0.5000 0.5000 0.5000
Pd: 0.0000 0.0000 0.0000
Pd: 0.0000 0.0000 0.2835
Pd: 0.0000 0.0000 0.7165

***

Entry 2:
Entry from OQMD: an optimized crystal structure of ThBiPb (GGA-PBE).

Calculated values
space group = F-43m, No. 216

Cell: 5.3458 5.3458 5.3458 Å, 60.00 60.00 60.00°
Atoms (fractional coordinates):
Bi: 0.5000 0.5000 0.5000
Pb: 0.2500 0.2500 0.2500
Th: 0.0000 0.0000 0.0000

***

| no. | E (eV for the cell shown) |
| --- | --- |
| 1 | -27.156 |
| 2 | -14.614 |